<i>
Computed, not measured: a relaxed BaNaBr crystal at the PBE-GGA level of DFT.

Geometry as POSCAR:
```
BaNaBr
1.0
4.419 0.000 0.000
-2.209 3.827 0.000
0.000 0.000 7.633
Ba Na Br
1 1 1
direct
0.000 0.000 0.000
0.333 0.667 0.560
0.667 0.333 0.297
```

## Properties
M_tot ... 0.30 μB/f.u.

=====

<ii>
Computed, not measured: a relaxed BaNaBr crystal at the PBE-GGA level of DFT.

Geometry as POSCAR:
```
BaNaBr
1.0
2.826 1.632 9.507
-2.826 1.632 9.507
0.000 -3.263 9.507
Ba Na Br
2 2 2
direct
0.090 0.090 0.090
0.910 0.910 0.910
0.331 0.331 0.331
0.669 0.669 0.669
0.209 0.209 0.209
0.791 0.791 0.791
```

## Properties
M_tot ... 0.00 μB/f.u.

=====

Energies relative to the minimum, kJ/mol of atoms: <i> 7.2; <ii> 0.0

=====

<i>
Computed, not measured: a relaxed BaNa2Br crystal at the PBE-GGA level of DFT.

Geometry as POSCAR:
```
BaNa2Br
1.0
8.657 0.000 0.000
0.000 8.657 0.000
0.000 0.000 8.657
Ba Na Br
4 8 4
direct
0.000 0.000 0.000
0.000 0.500 0.500
0.500 0.000 0.500
0.500 0.500 0.000
0.250 0.250 0.250
0.250 0.250 0.750
0.250 0.750 0.250
0.250 0.750 0.750
0.750 0.250 0.250
0.750 0.250 0.750
0.750 0.750 0.250
0.750 0.750 0.750
0.000 0.000 0.500
0.000 0.500 0.000
0.500 0.000 0.000
0.500 0.500 0.500
```

## Properties
M_tot ... 0.93 μB/f.u.

=====

<ii>
Computed, not measured: a relaxed BaNa2Br crystal at the PBE-GGA level of DFT.

Geometry as POSCAR:
```
BaNa2Br
1.0
10.405 0.000 0.000
0.000 10.405 0.000
0.000 0.000 6.521
Ba Na Br
4 8 4
direct
0.000 0.000 0.000
0.000 0.500 0.250
0.500 0.000 0.750
0.500 0.500 0.500
0.183 0.250 0.625
0.250 0.683 0.875
0.250 0.817 0.375
0.317 0.250 0.125
0.683 0.750 0.125
0.750 0.183 0.375
0.750 0.317 0.875
0.817 0.750 0.625
0.000 0.000 0.500
0.000 0.500 0.750
0.500 0.000 0.250
0.500 0.500 0.000
```

## Properties
M_tot ... 0.00 μB/f.u.

=====

<iii>
Computed, not measured: a relaxed BaNa2Br crystal at the PBE-GGA level of DFT.

Geometry as POSCAR:
```
BaNa2Br
1.0
4.191 0.000 0.000
-2.096 3.630 0.000
0.000 0.000 34.937
Ba Na Br
3 6 3
direct
0.000 0.000 0.000
0.333 0.667 0.667
0.667 0.333 0.333
0.000 0.000 0.115
0.000 0.000 0.885
0.333 0.667 0.551
0.333 0.667 0.782
0.667 0.333 0.218
0.667 0.333 0.449
0.000 0.000 0.500
0.333 0.667 0.167
0.667 0.333 0.833
```

## Properties
M_tot ... 0.28 μB/f.u.

=====

Energies relative to the minimum, kJ/mol of atoms: <i> 34.1; <ii> 0.0; <iii> 4.2

=====

<i>
Computed, not measured: a relaxed BaNa2Br2 crystal at the PBE-GGA level of DFT.

Geometry as POSCAR:
```
BaNa2Br2
1.0
4.303 0.000 0.000
0.000 4.303 0.000
0.000 0.000 20.214
Ba Na Br
2 4 4
direct
0.000 0.000 0.000
0.500 0.500 0.500
0.000 0.500 0.250
0.000 0.500 0.750
0.500 0.000 0.250
0.500 0.000 0.750
0.000 0.000 0.414
0.000 0.000 0.586
0.500 0.500 0.086
0.500 0.500 0.914
```

## Properties
M_tot ... 0.00 μB/f.u.

=====

<ii>
Computed, not measured: a relaxed BaNa2Br2 crystal at the PBE-GGA level of DFT.

Geometry as POSCAR:
```
BaNa2Br2
1.0
8.614 0.000 0.000
0.000 8.614 0.000
0.000 0.000 6.093
Ba Na Br
2 4 4
direct
0.000 0.000 0.000
0.500 0.500 0.000
0.199 0.301 0.500
0.301 0.801 0.500
0.699 0.199 0.500
0.801 0.699 0.500
0.166 0.334 0.000
0.334 0.834 0.000
0.666 0.166 0.000
0.834 0.666 0.000
```

## Properties
M_tot ... 0.00 μB/f.u.

=====

Energies relative to the minimum, kJ/mol of atoms: <i> 3.4; <ii> 0.0

=====

<i>
Computed, not measured: a relaxed BaNaBr2 crystal at the PBE-GGA level of DFT.

Geometry as POSCAR:
```
BaNaBr2
1.0
4.354 0.000 0.000
-2.177 3.771 0.000
0.000 0.000 24.741
Ba Na Br
3 3 6
direct
0.000 0.000 0.000
0.333 0.667 0.667
0.667 0.333 0.333
0.000 0.000 0.831
0.333 0.667 0.497
0.667 0.333 0.164
0.000 0.000 0.237
0.000 0.000 0.430
0.333 0.667 0.096
0.333 0.667 0.903
0.667 0.333 0.570
0.667 0.333 0.763
```

## Properties
M_tot ... 0.90 μB/f.u.

=====

<ii>
Computed, not measured: a relaxed BaNaBr2 crystal at the PBE-GGA level of DFT.

Geometry as POSCAR:
```
BaNaBr2
1.0
8.116 0.000 0.000
0.000 8.116 0.000
0.000 0.000 8.116
Ba Na Br
4 4 8
direct
0.000 0.000 0.000
0.000 0.500 0.500
0.500 0.000 0.500
0.500 0.500 0.000
0.000 0.000 0.500
0.000 0.500 0.000
0.500 0.000 0.000
0.500 0.500 0.500
0.250 0.250 0.250
0.250 0.250 0.750
0.250 0.750 0.250
0.250 0.750 0.750
0.750 0.250 0.250
0.750 0.250 0.750
0.750 0.750 0.250
0.750 0.750 0.750
```

## Properties
M_tot ... 0.79 μB/f.u.

=====

Energies relative to the minimum, kJ/mol of atoms: <i> 0.0; <ii> 13.8

=====

<i>
Computed, not measured: a relaxed BaNaBr2 crystal at the PBE-GGA level of DFT.

Geometry as POSCAR:
```
BaNaBr2
1.0
7.180 0.000 0.000
0.000 7.180 0.000
0.000 0.000 14.307
Ba Na Br
4 4 8
direct
0.000 0.000 0.000
0.000 0.500 0.250
0.500 0.000 0.750
0.500 0.500 0.500
0.000 0.000 0.500
0.000 0.500 0.750
0.500 0.000 0.250
0.500 0.500 0.000
0.213 0.250 0.625
0.250 0.713 0.875
0.250 0.787 0.375
0.287 0.250 0.125
0.713 0.750 0.125
0.750 0.213 0.375
0.750 0.287 0.875
0.787 0.750 0.625
```

## Properties
M_tot ... 0.59 μB/f.u.

=====

<ii>
Computed, not measured: a relaxed BaNaBr2 crystal at the PBE-GGA level of DFT.

Geometry as POSCAR:
```
BaNaBr2
1.0
4.585 0.000 0.000
-2.292 3.970 0.000
0.000 0.000 27.991
Ba Na Br
3 3 6
direct
0.000 0.000 0.000
0.333 0.667 0.667
0.667 0.333 0.333
0.000 0.000 0.500
0.333 0.667 0.167
0.667 0.333 0.833
0.000 0.000 0.111
0.000 0.000 0.889
0.333 0.667 0.556
0.333 0.667 0.777
0.667 0.333 0.223
0.667 0.333 0.444
```

## Properties
M_tot ... 0.00 μB/f.u.

=====

Energies relative to the minimum, kJ/mol of atoms: <i> 0.9; <ii> 0.0

=====

<i>
Computed, not measured: a relaxed Ba2NaBr crystal at the PBE-GGA level of DFT.

Geometry as POSCAR:
```
Ba2NaBr
1.0
8.928 0.000 0.000
0.000 8.928 0.000
0.000 0.000 8.928
Ba Na Br
8 4 4
direct
0.250 0.250 0.250
0.250 0.250 0.750
0.250 0.750 0.250
0.250 0.750 0.750
0.750 0.250 0.250
0.750 0.250 0.750
0.750 0.750 0.250
0.750 0.750 0.750
0.000 0.000 0.000
0.000 0.500 0.500
0.500 0.000 0.500
0.500 0.500 0.000
0.000 0.000 0.500
0.000 0.500 0.000
0.500 0.000 0.000
0.500 0.500 0.500
```

## Properties
M_tot ... 0.49 μB/f.u.

=====

<ii>
Computed, not measured: a relaxed Ba2NaBr crystal at the PBE-GGA level of DFT.

Geometry as POSCAR:
```
Ba2NaBr
1.0
4.435 0.000 0.000
-2.218 3.841 0.000
0.000 0.000 33.142
Ba Na Br
6 3 3
direct
0.000 0.000 0.000
0.000 0.000 0.192
0.333 0.667 0.667
0.333 0.667 0.858
0.667 0.333 0.333
0.667 0.333 0.525
0.000 0.000 0.763
0.333 0.667 0.429
0.667 0.333 0.096
0.000 0.000 0.595
0.333 0.667 0.262
0.667 0.333 0.928
```

## Properties
M_tot ... 0.48 μB/f.u.

=====

<iii>
Computed, not measured: a relaxed Ba2NaBr crystal at the PBE-GGA level of DFT.

Geometry as POSCAR:
```
Ba2NaBr
1.0
4.106 0.000 0.000
0.000 4.106 0.000
0.000 0.000 10.365
Ba Na Br
2 1 1
direct
0.000 0.000 0.225
0.000 0.000 0.775
0.500 0.500 0.500
0.500 0.500 0.000
```

## Properties
M_tot ... 0.12 μB/f.u.

=====

Energies relative to the minimum, kJ/mol of atoms: <i> 19.1; <ii> 0.0; <iii> 6.7

=====

<i>
Computed, not measured: a relaxed Ba2NaBr crystal at the PBE-GGA level of DFT.

Geometry as POSCAR:
```
Ba2NaBr
1.0
4.472 0.000 0.000
-2.236 3.872 0.000
0.000 0.000 32.760
Ba Na Br
6 3 3
direct
0.000 0.000 0.237
0.000 0.000 0.763
0.333 0.667 0.429
0.333 0.667 0.904
0.667 0.333 0.096
0.667 0.333 0.571
0.000 0.000 0.000
0.333 0.667 0.667
0.667 0.333 0.333
0.000 0.000 0.500
0.333 0.667 0.167
0.667 0.333 0.833
```

## Properties
M_tot ... 0.43 μB/f.u.

=====

<ii>
Computed, not measured: a relaxed Ba2NaBr crystal at the PBE-GGA level of DFT.

Geometry as POSCAR:
```
Ba2NaBr
1.0
9.718 0.000 0.000
0.000 9.718 0.000
0.000 0.000 9.026
Ba Na Br
8 4 4
direct
0.196 0.750 0.125
0.250 0.196 0.875
0.250 0.304 0.375
0.304 0.750 0.625
0.696 0.250 0.625
0.750 0.696 0.375
0.750 0.804 0.875
0.804 0.250 0.125
0.000 0.000 0.500
0.000 0.500 0.750
0.500 0.000 0.250
0.500 0.500 0.000
0.000 0.000 0.000
0.000 0.500 0.250
0.500 0.000 0.750
0.500 0.500 0.500
```

## Properties
M_tot ... 0.00 μB/f.u.

=====

Energies relative to the minimum, kJ/mol of atoms: <i> 0.0; <ii> 9.2

=====

<i>
Computed, not measured: a relaxed BaNa3Br crystal at the PBE-GGA level of DFT.

Geometry as POSCAR:
```
BaNa3Br
1.0
6.021 0.000 0.000
0.000 6.021 0.000
0.000 0.000 6.021
Ba Na Br
1 3 1
direct
0.000 0.000 0.000
0.000 0.500 0.500
0.500 0.000 0.500
0.500 0.500 0.000
0.500 0.500 0.500
```

## Properties
M_tot ... 0.00 μB/f.u.

=====

<ii>
Computed, not measured: a relaxed BaNa3Br crystal at the PBE-GGA level of DFT.

Geometry as POSCAR:
```
BaNa3Br
1.0
7.381 0.000 0.000
0.000 7.381 0.000
0.000 0.000 7.381
Ba Na Br
1 3 1
direct
0.000 0.000 0.000
0.000 0.000 0.500
0.000 0.500 0.000
0.500 0.000 0.000
0.500 0.500 0.500
```

## Properties
M_tot ... 2.00 μB/f.u.

=====

Energies relative to the minimum, kJ/mol of atoms: <i> 0.0; <ii> 68.6